Entry 1:
VASP calculation (GGA-PBE) on a relaxed YHo2Tm4Mg crystal.

Summary:
- Crystal system: monoclinic
- Volume: 239.1 Å³/cell
- E_form: 0.03 eV per atom
- Magnetization: 0.00 μB/cell

CIF file:
```
data_YHo2Tm4Mg
_chemical_formula_sum 'Y1 Ho2 Tm4 Mg1'
_cell_length_a 3.524
_cell_length_b 5.990
_cell_length_c 11.547
_cell_angle_alpha 78.71
_cell_angle_beta 90.00
_cell_angle_gamma 90.00
_symmetry_space_group_name_H-M 'P 1'
_symmetry_Int_Tables_number 1
loop_
_symmetry_equiv_pos_as_xyz
'x,y,z'
loop_
_atom_site_label
_atom_site_fract_x
_atom_site_fract_y
_atom_site_fract_z
Ho1 0.000 0.000 0.000
Tm1 0.500 0.238 0.750
Mg1 0.500 0.500 0.000
Ho2 0.500 0.000 0.500
Tm2 0.000 0.743 0.756
Tm3 0.000 0.257 0.244
Tm4 0.500 0.762 0.250
Y1 0.000 0.500 0.500
```

Entry 2:
VASP calculation (GGA-PBE) on a relaxed YHo2Tm2Mg5 crystal.

Summary:
- Crystal system: tetragonal
- Volume: 557.6 Å³/cell
- E_form: 0.07 eV per atom
- Magnetization: 0.00 μB/cell

CIF file:
```
data_YHo2Tm2Mg5
_chemical_formula_sum 'Y2 Ho4 Tm4 Mg10'
_cell_length_a 5.038
_cell_length_b 10.520
_cell_length_c 10.520
_cell_angle_alpha 90.00
_cell_angle_beta 90.00
_cell_angle_gamma 90.00
_symmetry_space_group_name_H-M 'P 1'
_symmetry_Int_Tables_number 1
loop_
_symmetry_equiv_pos_as_xyz
'x,y,z'
loop_
_atom_site_label
_atom_site_fract_x
_atom_site_fract_y
_atom_site_fract_z
Mg1 0.500 0.697 0.425
Ho1 0.000 0.678 0.178
Tm1 0.000 0.382 0.118
Mg2 0.500 0.075 0.803
Mg3 0.500 0.425 0.303
Mg4 0.500 0.575 0.697
Mg5 0.500 0.000 0.500
Tm2 0.000 0.618 0.882
Mg6 0.500 0.303 0.575
Mg7 0.500 0.803 0.925
Y1 0.000 0.500 0.500
Ho2 0.000 0.178 0.322
Tm3 0.000 0.882 0.382
Tm4 0.000 0.118 0.618
Mg8 0.500 0.500 0.000
Y2 0.000 0.000 0.000
Mg9 0.500 0.925 0.197
Mg10 0.500 0.197 0.075
Ho3 0.000 0.822 0.678
Ho4 0.000 0.322 0.822
```

Entry 3:
VASP calculation (GGA-PBE) on a relaxed Y2HoTm2Mg5 crystal.

Summary:
- Crystal system: tetragonal
- Volume: 560.0 Å³/cell
- E_form: 0.08 eV per atom
- Magnetization: 0.00 μB/cell

CIF file:
```
data_Y2HoTm2Mg5
_chemical_formula_sum 'Y4 Ho2 Tm4 Mg10'
_cell_length_a 5.023
_cell_length_b 10.559
_cell_length_c 10.559
_cell_angle_alpha 90.00
_cell_angle_beta 90.00
_cell_angle_gamma 90.00
_symmetry_space_group_name_H-M 'P 1'
_symmetry_Int_Tables_number 1
loop_
_symmetry_equiv_pos_as_xyz
'x,y,z'
loop_
_atom_site_label
_atom_site_fract_x
_atom_site_fract_y
_atom_site_fract_z
Mg1 0.500 0.431 0.302
Tm1 0.000 0.618 0.882
Mg2 0.500 0.569 0.698
Tm2 0.000 0.118 0.618
Mg3 0.500 0.802 0.931
Ho1 0.000 0.000 0.000
Y1 0.000 0.322 0.822
Y2 0.000 0.678 0.178
Mg4 0.500 0.000 0.500
Mg5 0.500 0.302 0.569
Tm3 0.000 0.382 0.118
Mg6 0.500 0.198 0.069
Mg7 0.500 0.069 0.802
Mg8 0.500 0.500 0.000
Tm4 0.000 0.882 0.382
Mg9 0.500 0.931 0.198
Y3 0.000 0.822 0.678
Y4 0.000 0.178 0.322
Mg10 0.500 0.698 0.431
Ho2 0.000 0.500 0.500
```

Entry 4:
VASP calculation (GGA-PBE) on a relaxed HoTmMgZr crystal.

Summary:
- Crystal system: cubic
- Volume: 106.2 Å³/cell
- E_form: 0.13 eV per atom
- Magnetization: 2.05 μB/cell
- Distance to the lowest polymorph of the same formula: 149 meV/atom

CIF file:
```
data_HoTmMgZr
_chemical_formula_sum 'Ho1 Tm1 Mg1 Zr1'
_cell_length_a 5.315
_cell_length_b 5.315
_cell_length_c 5.315
_cell_angle_alpha 60.00
_cell_angle_beta 60.00
_cell_angle_gamma 60.00
_symmetry_space_group_name_H-M 'P 1'
_symmetry_Int_Tables_number 1
loop_
_symmetry_equiv_pos_as_xyz
'x,y,z'
loop_
_atom_site_label
_atom_site_fract_x
_atom_site_fract_y
_atom_site_fract_z
Zr1 0.000 0.000 0.000
Ho1 0.750 0.750 0.750
Mg1 0.500 0.500 0.500
Tm1 0.250 0.250 0.250
```

Entry 5:
VASP calculation (GGA-PBE) on a relaxed HoTmMgZr crystal.

Summary:
- Crystal system: tetragonal
- Volume: 107.2 Å³/cell
- E_form: -0.02 eV per atom
- Magnetization: 0.00 μB/cell
- Distance to the lowest polymorph of the same formula: 0 meV/atom

CIF file:
```
data_HoTmMgZr
_chemical_formula_sum 'Ho1 Tm1 Mg1 Zr1'
_cell_length_a 3.407
_cell_length_b 3.407
_cell_length_c 9.237
_cell_angle_alpha 90.00
_cell_angle_beta 90.00
_cell_angle_gamma 90.00
_symmetry_space_group_name_H-M 'P 1'
_symmetry_Int_Tables_number 1
loop_
_symmetry_equiv_pos_as_xyz
'x,y,z'
loop_
_atom_site_label
_atom_site_fract_x
_atom_site_fract_y
_atom_site_fract_z
Tm1 0.500 0.500 0.315
Mg1 0.000 0.000 0.569
Ho1 0.500 0.500 0.827
Zr1 0.000 0.000 0.073
```

Entry 6:
VASP calculation (GGA-PBE) on a relaxed YHo2Mg crystal.

Summary:
- Crystal system: tetragonal
- Volume: 117.7 Å³/cell
- E_form: 0.03 eV per atom
- Magnetization: 0.00 μB/cell
- Distance to the lowest polymorph of the same formula: 61 meV/atom

CIF file:
```
data_YHo2Mg
_chemical_formula_sum 'Y1 Ho2 Mg1'
_cell_length_a 4.925
_cell_length_b 4.888
_cell_length_c 4.888
_cell_angle_alpha 90.00
_cell_angle_beta 90.00
_cell_angle_gamma 90.00
_symmetry_space_group_name_H-M 'P 1'
_symmetry_Int_Tables_number 1
loop_
_symmetry_equiv_pos_as_xyz
'x,y,z'
loop_
_atom_site_label
_atom_site_fract_x
_atom_site_fract_y
_atom_site_fract_z
Mg1 0.500 0.500 0.500
Y1 0.500 0.000 0.000
Ho1 0.000 0.500 0.000
Ho2 0.000 0.000 0.500
```

Entry 7:
VASP calculation (GGA-PBE) on a relaxed Y3Ho4Mg crystal.

Summary:
- Crystal system: monoclinic
- Volume: 250.8 Å³/cell
- E_form: 0.22 eV per atom
- Magnetization: 0.00 μB/cell
- Distance to the lowest polymorph of the same formula: 0 meV/atom

CIF file:
```
data_Y3Ho4Mg
_chemical_formula_sum 'Y3 Ho4 Mg1'
_cell_length_a 3.380
_cell_length_b 5.867
_cell_length_c 12.825
_cell_angle_alpha 95.76
_cell_angle_beta 97.57
_cell_angle_gamma 90.00
_symmetry_space_group_name_H-M 'P 1'
_symmetry_Int_Tables_number 1
loop_
_symmetry_equiv_pos_as_xyz
'x,y,z'
loop_
_atom_site_label
_atom_site_fract_x
_atom_site_fract_y
_atom_site_fract_z
Y1 0.000 0.500 0.000
Ho1 0.102 0.196 0.204
Ho2 0.282 0.762 0.564
Ho3 0.718 0.238 0.436
Y2 0.851 0.284 0.701
Mg1 0.500 0.000 0.000
Ho4 0.898 0.804 0.796
Y3 0.149 0.716 0.299
```

Entry 8:
VASP calculation (GGA-PBE) on a relaxed Y4HoMg2 crystal.

Summary:
- Crystal system: trigonal
- Volume: 206.3 Å³/cell
- E_form: -0.02 eV per atom
- Magnetization: 0.00 μB/cell
- Distance to the lowest polymorph of the same formula: 0 meV/atom

CIF file:
```
data_Y4HoMg2
_chemical_formula_sum 'Y4 Ho1 Mg2'
_cell_length_a 5.452
_cell_length_b 5.452
_cell_length_c 8.607
_cell_angle_alpha 71.53
_cell_angle_beta 71.53
_cell_angle_gamma 60.00
_symmetry_space_group_name_H-M 'P 1'
_symmetry_Int_Tables_number 1
loop_
_symmetry_equiv_pos_as_xyz
'x,y,z'
loop_
_atom_site_label
_atom_site_fract_x
_atom_site_fract_y
_atom_site_fract_z
Y1 0.845 0.845 0.464
Y2 0.575 0.575 0.276
Y3 0.425 0.425 0.724
Y4 0.155 0.155 0.536
Mg1 0.289 0.289 0.134
Mg2 0.711 0.711 0.866
Ho1 0.000 0.000 0.000
```

no.,N(E_F) (states/eV per atom)
1,1.36
2,0.79
3,0.80
4,1.48
5,1.19
6,1.93
7,1.46
8,1.18